Entry 1:
# AcInPt2 (GGA-PBE, relaxed)
data_AcInPt2
_chemical_formula_sum 'Ac1 In1 Pt2'
_space_group_name_H-M_alt 'P 1'
_space_group_IT_number 1
_space_group_name_Hall 'P 1'
_cell_length_a 3.7407
_cell_length_b 4.9714
_cell_length_c 4.9714
_cell_angle_alpha 90.00
_cell_angle_beta 90.00
_cell_angle_gamma 90.00
loop_
_atom_site_label
_atom_site_type_symbol
_atom_site_fract_x
_atom_site_fract_y
_atom_site_fract_z
Ac1 Ac 0.5000 0.0000 0.0000
Pt1 Pt 0.0000 0.0000 0.5000
Pt2 Pt 0.0000 0.5000 0.0000
In1 In 0.5000 0.5000 0.5000
# energy of formation = -0.662 eV/atom
# magnetization = 0.00 μB/f.u.
# calculated volume = 23.11 Å³ per atom
# theoretical density = 13.15 g/cm³

Entry 2:
# Ac3In4Pt4 (GGA-PBE, relaxed)
data_Ac3In4Pt4
_chemical_formula_sum 'Ac3 In4 Pt4'
_space_group_name_H-M_alt 'P 1'
_space_group_IT_number 1
_space_group_name_Hall 'P 1'
_cell_length_a 4.3006
_cell_length_b 8.2421
_cell_length_c 9.0239
_cell_angle_alpha 117.17
_cell_angle_beta 103.79
_cell_angle_gamma 90.00
loop_
_atom_site_label
_atom_site_type_symbol
_atom_site_fract_x
_atom_site_fract_y
_atom_site_fract_z
Ac1 Ac 0.1172 0.1172 0.2344
Ac2 Ac 0.8828 0.8828 0.7656
Ac3 Ac 0.0000 0.5000 0.0000
In1 In 0.3248 0.1305 0.6495
In2 In 0.6752 0.4810 0.3505
In3 In 0.6752 0.8695 0.3505
In4 In 0.3248 0.5190 0.6495
Pt1 Pt 0.2272 0.7272 0.4544
Pt2 Pt 0.7728 0.2728 0.5456
Pt3 Pt 0.5000 0.7869 0.0000
Pt4 Pt 0.5000 0.2131 0.0000
# energy of formation = -0.896 eV/atom
# magnetization = 0.00 μB/f.u.
# calculated volume = 24.92 Å³ per atom
# theoretical density = 11.63 g/cm³

Entry 3:
# Ac4In2Pt (GGA-PBE, relaxed)
data_Ac4In2Pt
_chemical_formula_sum 'Ac4 In2 Pt1'
_space_group_name_H-M_alt 'P 1'
_space_group_IT_number 1
_space_group_name_Hall 'P 1'
_cell_length_a 4.2543
_cell_length_b 7.0393
_cell_length_c 9.6818
_cell_angle_alpha 112.58
_cell_angle_beta 102.69
_cell_angle_gamma 90.00
loop_
_atom_site_label
_atom_site_type_symbol
_atom_site_fract_x
_atom_site_fract_y
_atom_site_fract_z
Ac1 Ac 0.9107 0.2573 0.8214
Ac2 Ac 0.0893 0.7427 0.1786
Ac3 Ac 0.6213 0.2655 0.2427
Ac4 Ac 0.3787 0.7345 0.7573
In1 In 0.7413 0.8204 0.4826
In2 In 0.2587 0.1796 0.5174
Pt1 Pt 0.0000 0.0000 0.0000
# energy of formation = -0.483 eV/atom
# magnetization = 0.00 μB/f.u.
# calculated volume = 37.15 Å³ per atom
# theoretical density = 8.51 g/cm³
# E above lowest polymorph = 0.0831 eV per atom